GGA-PBE LiPu8Ir6, optimized geometry; SG = R-3; calculated total energy = -11.326 eV per atom; formation enthalpy at 0 K = -14.5 kJ/mol of formula units; Fermi-level density of states = 37.146 states/eV/cell
1.0
3.1571 1.8228 8.1786
-3.1571 1.8228 8.1786
0.0000 -3.6456 8.1786
Li Pu Ir
1 8 6
Cartesian
0.0000 0.0000 0.0000
-2.0529 -0.0834 11.6513
-0.9543 -1.8196 12.8846
0.0000 0.0000 8.1928
1.0986 -1.7362 11.6513
-1.0986 1.7362 12.8846
0.0000 0.0000 16.3431
0.9543 1.8196 11.6513
2.0529 0.0834 12.8846
-0.8980 -2.1403 9.8170
-2.3026 -0.2924 14.7189
-1.4045 1.8479 9.8170
1.4045 -1.8479 14.7189
2.3026 0.2924 9.8170
0.8980 2.1403 14.7189